# TiInCoS3, relaxed, DFT PBE
data_TiInCoS3
_chemical_formula_sum 'Ti2 In2 Co2 S6'
_symmetry_space_group_name_H-M 'P 1 21/m 1'
_symmetry_Int_Tables_number 11
_cell_length_a 8.318
_cell_length_b 3.485
_cell_length_c 9.006
_cell_angle_alpha 90.00
_cell_angle_beta 113.38
_cell_angle_gamma 90.00
loop_
_symmetry_equiv_pos_as_xyz
'x,y,z'
'-x,-y,-z'
'-x,y+1/2,-z'
'x,-y+1/2,z'
loop_
_atom_site_label
_atom_site_type_symbol
_atom_site_fract_x
_atom_site_fract_y
_atom_site_fract_z
Ti1 Ti 0.193 0.250 0.163
In1 In 0.266 0.750 0.767
Co1 Co 0.415 0.750 0.394
S1 S 0.031 0.250 0.858
S2 S 0.295 0.250 0.458
S3 S 0.385 0.750 0.136
# theoretical density = 4.4 Mg/m³
# ΔE_f (raw) = -4.84 eV/f.u.
# density of states at the Fermi level = 5.148 states/eV/cell

---

# Ce2PmWN5, relaxed, DFT PBE
data_Ce2PmWN5
_chemical_formula_sum 'Ce4 Pm2 W2 N10'
_symmetry_space_group_name_H-M 'P 4/m b m'
_symmetry_Int_Tables_number 127
_symmetry_space_group_name_Hall '-P 4 2ab'
_cell_length_a 6.689
_cell_length_b 6.689
_cell_length_c 5.865
_cell_angle_alpha 90.00
_cell_angle_beta 90.00
_cell_angle_gamma 90.00
loop_
_atom_site_label
_atom_site_type_symbol
_atom_site_fract_x
_atom_site_fract_y
_atom_site_fract_z
Ce1 Ce 0.170 0.330 0.000
Pm1 Pm 0.000 0.000 0.500
W1 W 0.000 0.500 0.500
N1 N 0.000 0.000 0.000
N2 N 0.146 0.646 0.264
# theoretical density = 8.6 Mg/m³
# ΔE_f (raw) = -9.10 eV/f.u.

---

# Fe2AgRuN, relaxed, DFT PBE
data_Fe2AgRuN
_chemical_formula_sum 'Fe2 Ag1 Ru1 N1'
_symmetry_space_group_name_H-M 'P 4/m m m'
_symmetry_Int_Tables_number 123
_symmetry_space_group_name_Hall '-P 4 2'
_cell_length_a 3.939
_cell_length_b 3.939
_cell_length_c 3.991
_cell_angle_alpha 90.00
_cell_angle_beta 90.00
_cell_angle_gamma 90.00
loop_
_atom_site_label
_atom_site_type_symbol
_atom_site_fract_x
_atom_site_fract_y
_atom_site_fract_z
Fe1 Fe 0.000 0.500 0.000
Ag1 Ag 0.000 0.000 0.500
Ru1 Ru 0.500 0.500 0.500
N1 N 0.500 0.500 0.000
# theoretical density = 9.0 Mg/m³
# ΔE_f (raw) = 0.83 eV/f.u.
# density of states at the Fermi level = 5.798 states/eV/cell

---

# CaTc2P, relaxed, DFT PBE
data_CaTc2P
_chemical_formula_sum 'Ca2 Tc4 P2'
_symmetry_space_group_name_H-M 'I m m 2'
_symmetry_Int_Tables_number 44
_cell_length_a 3.102
_cell_length_b 4.451
_cell_length_c 9.299
_cell_angle_alpha 90.00
_cell_angle_beta 90.00
_cell_angle_gamma 90.00
loop_
_symmetry_equiv_pos_as_xyz
'x,y,z'
'-x,-y,z'
'-x,y,z'
'x,-y,z'
'x+1/2,y+1/2,z+1/2'
'-x+1/2,-y+1/2,z+1/2'
'-x+1/2,y+1/2,z+1/2'
'x+1/2,-y+1/2,z+1/2'
loop_
_atom_site_label
_atom_site_type_symbol
_atom_site_fract_x
_atom_site_fract_y
_atom_site_fract_z
Ca1 Ca 0.000 0.000 0.000
Tc1 Tc 0.000 0.000 0.475
Tc2 Tc 0.000 0.500 0.225
P1 P 0.000 0.500 0.774
# theoretical density = 6.9 Mg/m³
# ΔE_f = 22.7 kJ/mol of atoms
# density of states at the Fermi level = 9.792 states/eV/cell

---

# Tb2PmSm2Y2, relaxed, DFT PBE
data_Tb2PmSm2Y2
_chemical_formula_sum 'Tb4 Pm2 Sm4 Y4'
_symmetry_space_group_name_H-M 'C 1 2/m 1'
_symmetry_Int_Tables_number 12
_cell_length_a 11.355
_cell_length_b 5.086
_cell_length_c 8.044
_cell_angle_alpha 90.00
_cell_angle_beta 98.00
_cell_angle_gamma 90.00
loop_
_symmetry_equiv_pos_as_xyz
'x,y,z'
'-x,-y,-z'
'-x,y,-z'
'x,-y,z'
'x+1/2,y+1/2,z'
'-x+1/2,-y+1/2,-z'
'-x+1/2,y+1/2,-z'
'x+1/2,-y+1/2,z'
loop_
_atom_site_label
_atom_site_type_symbol
_atom_site_fract_x
_atom_site_fract_y
_atom_site_fract_z
Tb1 Tb 0.143 0.000 0.430
Pm1 Pm 0.000 0.000 0.000
Sm1 Sm 0.072 0.500 0.713
Y1 Y 0.214 0.500 0.144
# theoretical density = 6.8 Mg/m³
# ΔE_f = 1.4 kJ/mol of atoms
# density of states at the Fermi level = 18.888 states/eV/cell

---

# CdTc2W, relaxed, DFT PBE
data_CdTc2W
_chemical_formula_sum 'Cd3 Tc6 W3'
_symmetry_space_group_name_H-M 'R -3 m'
_symmetry_Int_Tables_number 166
_symmetry_space_group_name_Hall '-R 3 2"'
_cell_length_a 2.8467
_cell_length_b 2.8467
_cell_length_c 27.9709
_cell_angle_alpha 90.00
_cell_angle_beta 90.00
_cell_angle_gamma 120.00
loop_
_atom_site_label
_atom_site_type_symbol
_atom_site_fract_x
_atom_site_fract_y
_atom_site_fract_z
Cd1 Cd 0.0000 0.0000 0.0000
Tc1 Tc 0.0000 0.0000 0.2441
W1 W 0.0000 0.0000 0.5000
# theoretical density = 12.5 Mg/m³
# ΔE_f = 27.7 kJ/mol of atoms
# density of states at the Fermi level = 9.237 states/eV/cell

---

# Cs2CdSiBr6, relaxed, DFT PBE
data_Cs2CdSiBr6
_chemical_formula_sum 'Cs8 Cd4 Si4 Br24'
_symmetry_space_group_name_H-M 'F m -3 m'
_symmetry_Int_Tables_number 225
_symmetry_space_group_name_Hall '-F 4 2 3'
_cell_length_a 11.130
_cell_length_b 11.130
_cell_length_c 11.130
_cell_angle_alpha 90.00
_cell_angle_beta 90.00
_cell_angle_gamma 90.00
loop_
_atom_site_label
_atom_site_type_symbol
_atom_site_fract_x
_atom_site_fract_y
_atom_site_fract_z
Cs1 Cs 0.250 0.250 0.250
Cd1 Cd 0.000 0.000 0.000
Si1 Si 0.000 0.000 0.500
Br1 Br 0.000 0.000 0.254
# theoretical density = 4.3 Mg/m³
# ΔE_f (raw) = -10.82 eV/f.u.
# density of states at the Fermi level = 0.000 states/eV/cell

---

# Pd6PtAu8, relaxed, DFT PBE
data_Pd6PtAu8
_chemical_formula_sum 'Pd18 Pt3 Au24'
_symmetry_space_group_name_H-M 'R -3'
_symmetry_Int_Tables_number 148
_symmetry_space_group_name_Hall '-R 3'
_cell_length_a 7.7056
_cell_length_b 7.7056
_cell_length_c 16.3944
_cell_angle_alpha 90.00
_cell_angle_beta 90.00
_cell_angle_gamma 120.00
loop_
_atom_site_label
_atom_site_type_symbol
_atom_site_fract_x
_atom_site_fract_y
_atom_site_fract_z
Pd1 Pd 0.0009 0.3401 0.2148
Pt1 Pt 0.0000 0.0000 0.5000
Au1 Au 0.0000 0.0000 0.1756
Au2 Au 0.9996 0.3348 0.0463
# theoretical density = 14.2 Mg/m³
# ΔE_f = 10.8 kJ/mol of atoms
# density of states at the Fermi level = 39.459 states/eV/cell

---

# Tb2ErZn2In2, relaxed, DFT PBE
data_Tb2ErZn2In2
_chemical_formula_sum 'Tb6 Er3 Zn6 In6'
_symmetry_space_group_name_H-M 'R -3 m'
_symmetry_Int_Tables_number 166
_symmetry_space_group_name_Hall '-R 3 2"'
_cell_length_a 4.6985
_cell_length_b 4.6985
_cell_length_c 27.1822
_cell_angle_alpha 90.00
_cell_angle_beta 90.00
_cell_angle_gamma 120.00
loop_
_atom_site_label
_atom_site_type_symbol
_atom_site_fract_x
_atom_site_fract_y
_atom_site_fract_z
Tb1 Tb 0.0000 0.0000 0.1270
Er1 Er 0.0000 0.0000 0.0000
Zn1 Zn 0.0000 0.0000 0.3940
In1 In 0.0000 0.0000 0.2643
# theoretical density = 8.1 Mg/m³
# ΔE_f = -26.1 kJ/mol of atoms
# density of states at the Fermi level = 9.139 states/eV/cell

---

# TiZn6Ag, relaxed, DFT PBE
data_TiZn6Ag
_chemical_formula_sum 'Ti2 Zn12 Ag2'
_symmetry_space_group_name_H-M 'A m m 2'
_symmetry_Int_Tables_number 38
_cell_length_a 4.236
_cell_length_b 6.322
_cell_length_c 9.219
_cell_angle_alpha 90.00
_cell_angle_beta 90.00
_cell_angle_gamma 90.00
loop_
_symmetry_equiv_pos_as_xyz
'x,y,z'
'-x,-y,z'
'-x,y,z'
'x,-y,z'
'x,y+1/2,z+1/2'
'-x,-y+1/2,z+1/2'
'-x,y+1/2,z+1/2'
'x,-y+1/2,z+1/2'
loop_
_atom_site_label
_atom_site_type_symbol
_atom_site_fract_x
_atom_site_fract_y
_atom_site_fract_z
Ti1 Ti 0.000 0.000 0.000
Zn1 Zn 0.000 0.000 0.451
Zn2 Zn 0.000 0.211 0.722
Zn3 Zn 0.500 0.000 0.812
Zn4 Zn 0.500 0.217 0.529
Ag1 Ag 0.500 0.000 0.254
# theoretical density = 7.4 Mg/m³
# ΔE_f = -6.7 kJ/mol of atoms
# density of states at the Fermi level = 9.342 states/eV/cell

---

# LiTi4Zn5, relaxed, DFT PBE
data_LiTi4Zn5
_chemical_formula_sum 'Li1 Ti4 Zn5'
_symmetry_space_group_name_H-M 'P 4/m m m'
_symmetry_Int_Tables_number 123
_symmetry_space_group_name_Hall '-P 4 2'
_cell_length_a 2.849
_cell_length_b 2.849
_cell_length_c 18.965
_cell_angle_alpha 90.00
_cell_angle_beta 90.00
_cell_angle_gamma 90.00
loop_
_atom_site_label
_atom_site_type_symbol
_atom_site_fract_x
_atom_site_fract_y
_atom_site_fract_z
Li1 Li 0.000 0.000 0.000
Ti1 Ti 0.000 0.000 0.196
Ti2 Ti 0.000 0.000 0.399
Zn1 Zn 0.500 0.500 0.095
Zn2 Zn 0.500 0.500 0.298
Zn3 Zn 0.500 0.500 0.500
# theoretical density = 5.7 Mg/m³
# ΔE_f = -17.2 kJ/mol of atoms
# density of states at the Fermi level = 6.373 states/eV/cell

---

# Cu2BiSO2, relaxed, DFT PBE
data_Cu2BiSO2
_chemical_formula_sum 'Cu2 Bi1 S1 O2'
_symmetry_space_group_name_H-M 'P 4/m m m'
_symmetry_Int_Tables_number 123
_symmetry_space_group_name_Hall '-P 4 2'
_cell_length_a 3.323
_cell_length_b 3.323
_cell_length_c 11.887
_cell_angle_alpha 90.00
_cell_angle_beta 90.00
_cell_angle_gamma 90.00
loop_
_atom_site_label
_atom_site_type_symbol
_atom_site_fract_x
_atom_site_fract_y
_atom_site_fract_z
Cu1 Cu 0.000 0.000 0.173
Bi1 Bi 0.000 0.000 0.500
S1 S 0.000 0.000 0.000
O1 O 0.000 0.000 0.319
# theoretical density = 5.1 Mg/m³
# ΔE_f (raw) = 0.30 eV/f.u.
# density of states at the Fermi level = 4.054 states/eV/cell

---

# NaTa2GaAu, relaxed, DFT PBE
data_NaTa2GaAu
_chemical_formula_sum 'Na1 Ta2 Ga1 Au1'
_symmetry_space_group_name_H-M 'P 4/m m m'
_symmetry_Int_Tables_number 123
_symmetry_space_group_name_Hall '-P 4 2'
_cell_length_a 5.015
_cell_length_b 5.015
_cell_length_c 4.950
_cell_angle_alpha 90.00
_cell_angle_beta 90.00
_cell_angle_gamma 90.00
loop_
_atom_site_label
_atom_site_type_symbol
_atom_site_fract_x
_atom_site_fract_y
_atom_site_fract_z
Na1 Na 0.000 0.000 0.000
Ta1 Ta 0.000 0.500 0.500
Ga1 Ga 0.500 0.500 0.000
Au1 Au 0.000 0.000 0.500
# theoretical density = 8.7 Mg/m³
# ΔE_f = 131.1 kJ/mol of atoms
# density of states at the Fermi level = 5.526 states/eV/cell

---

# ScVN3, relaxed, DFT PBE
data_ScVN3
_chemical_formula_sum 'Sc1 V1 N3'
_symmetry_space_group_name_H-M 'P m -3 m'
_symmetry_Int_Tables_number 221
_symmetry_space_group_name_Hall '-P 4 2 3'
_cell_length_a 3.778
_cell_length_b 3.778
_cell_length_c 3.778
_cell_angle_alpha 90.00
_cell_angle_beta 90.00
_cell_angle_gamma 90.00
loop_
_atom_site_label
_atom_site_type_symbol
_atom_site_fract_x
_atom_site_fract_y
_atom_site_fract_z
Sc1 Sc 0.000 0.000 0.000
V1 V 0.500 0.500 0.500
N1 N 0.000 0.500 0.500
# theoretical density = 4.2 Mg/m³
# ΔE_f (raw) = -2.27 eV/f.u.
# density of states at the Fermi level = 3.569 states/eV/cell

---

# TaMnAu2, relaxed, DFT PBE
data_TaMnAu2
_chemical_formula_sum 'Ta2 Mn2 Au4'
_symmetry_space_group_name_H-M 'I -4 m 2'
_symmetry_Int_Tables_number 119
_symmetry_space_group_name_Hall 'I -4 -2'
_cell_length_a 4.017
_cell_length_b 4.017
_cell_length_c 8.156
_cell_angle_alpha 90.00
_cell_angle_beta 90.00
_cell_angle_gamma 90.00
loop_
_atom_site_label
_atom_site_type_symbol
_atom_site_fract_x
_atom_site_fract_y
_atom_site_fract_z
Ta1 Ta 0.000 0.000 0.000
Mn1 Mn 0.000 0.500 0.250
Au1 Au 0.000 0.000 0.500
Au2 Au 0.000 0.500 0.750
# theoretical density = 15.9 Mg/m³
# ΔE_f = 8.9 kJ/mol of atoms
# density of states at the Fermi level = 9.770 states/eV/cell

---

# DyGa3CoTc, relaxed, DFT PBE
data_DyGa3CoTc
_chemical_formula_sum 'Dy4 Ga12 Co4 Tc4'
_symmetry_space_group_name_H-M 'C m c m'
_symmetry_Int_Tables_number 63
_symmetry_space_group_name_Hall '-C 2c 2'
_cell_length_a 7.651
_cell_length_b 10.375
_cell_length_c 5.729
_cell_angle_alpha 90.00
_cell_angle_beta 90.00
_cell_angle_gamma 90.00
loop_
_atom_site_label
_atom_site_type_symbol
_atom_site_fract_x
_atom_site_fract_y
_atom_site_fract_z
Dy1 Dy 0.000 0.218 0.250
Ga1 Ga 0.000 0.303 0.750
Ga2 Ga 0.247 0.500 0.000
Co1 Co 0.000 0.475 0.250
Tc1 Tc 0.000 0.073 0.750
# theoretical density = 7.7 Mg/m³
# ΔE_f = -16.8 kJ/mol of atoms
# density of states at the Fermi level = 18.812 states/eV/cell

---

# Tb2Al3SnPt4, relaxed, DFT PBE
data_Tb2Al3SnPt4
_chemical_formula_sum 'Tb2 Al3 Sn1 Pt4'
_symmetry_space_group_name_H-M 'P -4 m 2'
_symmetry_Int_Tables_number 115
_cell_length_a 4.201
_cell_length_b 4.201
_cell_length_c 10.932
_cell_angle_alpha 90.00
_cell_angle_beta 90.00
_cell_angle_gamma 90.00
loop_
_symmetry_equiv_pos_as_xyz
'x,y,z'
'y,-x,-z'
'-x,-y,z'
'-y,x,-z'
'-x,y,z'
'-y,-x,-z'
'x,-y,z'
'y,x,-z'
loop_
_atom_site_label
_atom_site_type_symbol
_atom_site_fract_x
_atom_site_fract_y
_atom_site_fract_z
Tb1 Tb 0.000 0.500 0.247
Al1 Al 0.000 0.500 0.873
Al2 Al 0.500 0.500 0.500
Sn1 Sn 0.000 0.000 0.500
Pt1 Pt 0.000 0.000 0.000
Pt2 Pt 0.000 0.500 0.651
Pt3 Pt 0.500 0.500 0.000
# theoretical density = 11.2 Mg/m³
# ΔE_f = -100.9 kJ/mol of atoms
# density of states at the Fermi level = 4.664 states/eV/cell

---

# Ba2Sr2Y, relaxed, DFT PBE
data_Ba2Sr2Y
_chemical_formula_sum 'Ba4 Sr4 Y2'
_symmetry_space_group_name_H-M 'P 4/m b m'
_symmetry_Int_Tables_number 127
_symmetry_space_group_name_Hall '-P 4 2ab'
_cell_length_a 10.313
_cell_length_b 10.313
_cell_length_c 4.720
_cell_angle_alpha 90.00
_cell_angle_beta 90.00
_cell_angle_gamma 90.00
loop_
_atom_site_label
_atom_site_type_symbol
_atom_site_fract_x
_atom_site_fract_y
_atom_site_fract_z
Ba1 Ba 0.135 0.365 0.000
Sr1 Sr 0.170 0.670 0.500
Y1 Y 0.000 0.000 0.000
# theoretical density = 3.6 Mg/m³
# ΔE_f = 33.4 kJ/mol of atoms
# density of states at the Fermi level = 14.306 states/eV/cell

---

# TbErTm4, relaxed, DFT PBE
data_TbErTm4
_chemical_formula_sum 'Tb1 Er1 Tm4'
_symmetry_space_group_name_H-M 'P m m m'
_symmetry_Int_Tables_number 47
_cell_length_a 3.440
_cell_length_b 5.525
_cell_length_c 9.560
_cell_angle_alpha 90.00
_cell_angle_beta 90.00
_cell_angle_gamma 90.00
loop_
_symmetry_equiv_pos_as_xyz
'x,y,z'
'-x,-y,-z'
'-x,-y,z'
'x,y,-z'
'x,-y,-z'
'-x,y,z'
'-x,y,-z'
'x,-y,z'
loop_
_atom_site_label
_atom_site_type_symbol
_atom_site_fract_x
_atom_site_fract_y
_atom_site_fract_z
Tb1 Tb 0.000 0.000 0.000
Er1 Er 0.000 0.500 0.500
Tm1 Tm 0.500 0.000 0.334
Tm2 Tm 0.500 0.500 0.168
# theoretical density = 9.2 Mg/m³
# ΔE_f = 7.8 kJ/mol of atoms
# density of states at the Fermi level = 10.831 states/eV/cell

---

# BeBTe2Ru, relaxed, DFT PBE
data_BeBTe2Ru
_chemical_formula_sum 'Be1 B1 Te2 Ru1'
_symmetry_space_group_name_H-M 'P 4/m m m'
_symmetry_Int_Tables_number 123
_symmetry_space_group_name_Hall '-P 4 2'
_cell_length_a 5.140
_cell_length_b 5.140
_cell_length_c 4.138
_cell_angle_alpha 90.00
_cell_angle_beta 90.00
_cell_angle_gamma 90.00
loop_
_atom_site_label
_atom_site_type_symbol
_atom_site_fract_x
_atom_site_fract_y
_atom_site_fract_z
Be1 Be 0.000 0.000 0.000
B1 B 0.500 0.500 0.000
Te1 Te 0.000 0.500 0.500
Ru1 Ru 0.000 0.000 0.500
# theoretical density = 5.7 Mg/m³
# ΔE_f (raw) = 5.99 eV/f.u.
# density of states at the Fermi level = 3.587 states/eV/cell